Material: SrHf3S
Method: DFT, PBE
State: relaxed

Structure (CIF):
```
data_SrHf3S
_symmetry_space_group_name_H-M 'P 1'
_symmetry_Int_Tables_number 1
_cell_length_a 4.967
_cell_length_b 4.967
_cell_length_c 4.967
_cell_angle_alpha 90.00
_cell_angle_beta 90.00
_cell_angle_gamma 90.00
loop_
_symmetry_equiv_pos_as_xyz
'x,y,z'
loop_
_atom_site_label
_atom_site_type_symbol
_atom_site_fract_x
_atom_site_fract_y
_atom_site_fract_z
S1 S 0.000 0.000 0.000
Hf1 Hf 0.000 0.500 0.000
Sr1 Sr 0.500 0.500 0.500
Hf2 Hf 0.500 0.000 0.000
Hf3 Hf 0.000 0.000 0.500
```

Computed properties:
The space group is Pm-3m (221). The calculation puts the energy at -36.5 eV/cell.

=====

Material: SrHfS3
Method: DFT, PBE
State: relaxed

Structure (CIF):
```
data_SrHfS3
_symmetry_space_group_name_H-M 'P 1'
_symmetry_Int_Tables_number 1
_cell_length_a 7.522
_cell_length_b 7.522
_cell_length_c 7.522
_cell_angle_alpha 53.65
_cell_angle_beta 53.65
_cell_angle_gamma 53.65
loop_
_symmetry_equiv_pos_as_xyz
'x,y,z'
loop_
_atom_site_label
_atom_site_type_symbol
_atom_site_fract_x
_atom_site_fract_y
_atom_site_fract_z
Hf1 Hf 0.339 0.339 0.339
S1 S 0.683 0.482 0.068
Sr1 Sr 0.864 0.864 0.864
Hf2 Hf 0.661 0.661 0.661
Sr2 Sr 0.136 0.136 0.136
S2 S 0.068 0.683 0.482
S3 S 0.482 0.068 0.683
S4 S 0.518 0.932 0.317
S5 S 0.932 0.317 0.518
S6 S 0.317 0.518 0.932
```

Computed properties:
The space group is R-3 (148). The calculation puts the energy at -65.9 eV/cell.

=====

Material: SrHfS3
Method: DFT, PBE
State: relaxed

Structure (CIF):
```
data_SrHfS3
_symmetry_space_group_name_H-M 'P 1'
_symmetry_Int_Tables_number 1
_cell_length_a 24.868
_cell_length_b 8.014
_cell_length_c 9.135
_cell_angle_alpha 90.00
_cell_angle_beta 162.21
_cell_angle_gamma 90.00
loop_
_symmetry_equiv_pos_as_xyz
'x,y,z'
loop_
_atom_site_label
_atom_site_type_symbol
_atom_site_fract_x
_atom_site_fract_y
_atom_site_fract_z
Hf1 Hf 0.400 0.885 0.890
S1 S 0.609 0.691 0.553
Sr1 Sr 0.453 0.732 0.463
Sr2 Sr 0.547 0.268 0.537
Hf2 Hf 0.600 0.115 0.110
S2 S 0.448 0.180 0.961
Hf3 Hf 0.100 0.385 0.610
S3 S 0.220 0.479 0.679
S4 S 0.948 0.320 0.461
S5 S 0.280 0.979 0.821
S6 S 0.552 0.820 0.039
Hf4 Hf 0.900 0.615 0.390
Sr3 Sr 0.953 0.768 0.963
S7 S 0.891 0.191 0.947
S8 S 0.052 0.680 0.539
S9 S 0.391 0.309 0.447
Sr4 Sr 0.047 0.232 0.037
S10 S 0.109 0.809 0.053
S11 S 0.780 0.521 0.321
S12 S 0.720 0.021 0.179
```

Computed properties:
The space group is P2_1/c (14). The calculation puts the energy at -130.8 eV/cell.

=====

Material: SrHfS3
Method: DFT, PBE
State: relaxed

Structure (CIF):
```
data_SrHfS3
_symmetry_space_group_name_H-M 'P 1'
_symmetry_Int_Tables_number 1
_cell_length_a 4.614
_cell_length_b 4.614
_cell_length_c 13.119
_cell_angle_alpha 79.87
_cell_angle_beta 79.87
_cell_angle_gamma 90.00
loop_
_symmetry_equiv_pos_as_xyz
'x,y,z'
loop_
_atom_site_label
_atom_site_type_symbol
_atom_site_fract_x
_atom_site_fract_y
_atom_site_fract_z
S1 S 0.106 0.850 0.788
S2 S 0.683 0.683 0.634
Sr1 Sr 0.250 0.750 0.500
S3 S 0.150 0.894 0.212
Hf1 Hf 0.631 0.131 0.737
S4 S 0.317 0.317 0.366
Hf2 Hf 0.869 0.369 0.263
Sr2 Sr 0.000 0.000 0.000
S5 S 0.106 0.362 0.788
S6 S 0.638 0.894 0.212
```

Computed properties:
The space group is I-4m2 (119). The calculation puts the energy at -57.3 eV/cell.

=====

Volume in Å³ per atom, matching the order above: 24.50 25.63 27.81 27.05
Mass density in g cm⁻³, matching the order above: 8.9 4.7 4.3 4.4